Entry 1:
A relaxed structure of Hf2Be15Co2. Source: the Alexandria database, functional PBE.

The structure in extended XYZ format:
```
19
Lattice="-0.4687 -3.2084 -4.6805 5.4297 0.4328 -1.6586 1.8073 -4.8674 2.3372" Properties=species:S:1:pos:R:3 pbc="T T T"
Co 6.0634 -6.8469 -3.5851
Co 0.7050 -0.7960 -0.4168
Be 4.6951 -3.4195 -0.2795
Be 4.4100 -1.0592 -0.5338
Be 2.0733 -4.2234 -3.7224
Be 2.8270 -3.3754 1.2124
Be 3.7693 -0.5922 -2.5093
Be 1.7247 -5.2532 -1.8012
Be 5.0436 -2.3898 -2.2007
Be 3.2195 -5.0588 -0.1884
Be 3.5489 -2.5841 -3.8135
Be 0.1720 -3.6754 -2.7050
Be 1.1666 -4.4004 0.3617
Be 0.9037 -2.4337 1.1686
Be 1.1917 -2.1834 -3.8298
Be -0.2343 -1.6042 -2.3402
Be 2.7149 0.2164 -0.8293
Hf 2.3018 -2.5992 -1.3610
Hf 4.4666 -5.0437 -2.6410
```

Calculated values
- Raw total energy: -5.007 eV/atom
- V: 181.0 Å³ per cell



Entry 2:
A relaxed structure of CsHgP2S. Source: the Alexandria database, functional PBE.

The structure in extended XYZ format:
```
5
Lattice="-0.2053 -3.2359 4.0391 -3.8243 -2.6287 -2.3003 3.6806 -3.2440 -2.4119" Properties=species:S:1:pos:R:3 pbc="T T T"
Cs -0.1745 -4.5543 -0.3366
P -1.9122 -1.3144 -1.1502
P -0.1026 -1.6179 2.0195
Hg 0.0000 0.0000 0.0000
S 1.8403 -1.6220 -1.2059
```

Calculated values
- Raw total energy: -2.609 eV/atom
- V: 146.7 Å³ per cell
- Energy relative to the lowest polymorph listed for this composition: 0.000 eV/atom



Entry 3:
A relaxed structure of Tl7InBi4. Source: the Alexandria database, functional PBE.

The structure in extended XYZ format:
```
12
Lattice="5.6893 -2.5200 1.2329 -0.1636 8.3608 -1.8534 -0.7679 -2.3528 8.6808" Properties=species:S:1:pos:R:3 pbc="T T T"
Bi 2.5428 1.0817 6.9759
Bi 1.5526 -1.9560 6.1864
Bi 2.2149 2.4063 1.0843
Bi 3.2051 5.4440 1.8739
Tl 4.5227 0.3003 3.1268
Tl 3.7908 3.3633 4.4762
Tl 0.9670 0.1247 3.5841
Tl 0.2350 3.1877 4.9335
Tl 0.0832 5.4312 0.1440
Tl 2.8446 -1.2600 0.6164
Tl 4.6746 -1.9432 7.9162
In 0.0000 0.0000 0.0000
```

Calculated values
- Raw total energy: -2.888 eV/atom
- V: 389.3 Å³ per cell



Entry 4:
A relaxed structure of Cs2Ge2As. Source: the Alexandria database, functional PBE.

The structure in extended XYZ format:
```
10
Lattice="-3.2829 -4.0517 -5.1993 -3.7137 -3.6619 5.1986 -4.4757 4.0597 -0.3377" Properties=species:S:1:pos:R:3 pbc="T T T"
Cs -7.5058 -3.7368 0.3237
Cs -3.9666 0.0830 -0.6621
Cs -5.9603 -2.2902 -2.7687
Cs -5.5121 -1.3637 2.4303
Ge -2.4554 -2.9232 -2.5997
Ge -1.8068 -1.8763 1.3897
Ge -5.1899 -5.8373 -1.3903
Ge -4.5412 -4.7904 2.5990
As 0.0000 0.0000 0.0000
As -3.4983 -3.8568 -0.0003
```

Calculated values
- Raw total energy: -3.101 eV/atom
- V: 328.2 Å³ per cell
- Energy relative to the lowest polymorph listed for this composition: 0.110 eV/atom



Entry 5:
A relaxed structure of Ba3SrSe. Source: the Alexandria database, functional PBE.

The structure in extended XYZ format:
```
5
Lattice="6.5195 0.0000 0.0000 0.0000 6.5195 0.0000 0.0000 0.0000 6.5195" Properties=species:S:1:pos:R:3 pbc="T T T"
Se 0.0000 0.0000 0.0000
Ba 0.0000 3.2597 0.0000
Ba 0.0000 0.0000 3.2597
Ba 3.2597 0.0000 0.0000
Sr 3.2597 3.2597 3.2597
```

Calculated values
- Raw total energy: -2.900 eV/atom
- V: 277.1 Å³ per cell
- Energy relative to the lowest polymorph listed for this composition: 0.000 eV/atom



Entry 6:
A relaxed structure of Cu2Te. Source: the Alexandria database, functional PBE.

The structure in extended XYZ format:
```
6
Lattice="-0.4701 -1.5994 -4.0976 0.3830 -4.2253 -1.2528 -6.8596 -0.9863 1.1467" Properties=species:S:1:pos:R:3 pbc="T T T"
Cu -0.9473 -5.5770 -4.8638
Cu -4.6819 -4.7661 -2.9953
Cu -1.6656 -3.8895 -3.0907
Cu -2.2917 -2.1829 -1.3277
Te -6.5715 -2.3142 -0.1655
Te -3.5246 -0.5681 0.5326
```

Calculated values
- Raw total energy: -3.691 eV/atom
- V: 110.1 Å³ per cell



Entry 7:
A relaxed structure of Zr2MnW. Source: the Alexandria database, functional PBE.

The structure in extended XYZ format:
```
4
Lattice="4.5573 0.3924 0.8216 1.4944 1.5110 4.1331 2.0944 -2.9376 2.9295" Properties=species:S:1:pos:R:3 pbc="T T T"
Mn 0.0000 0.0000 0.0000
Zr 2.0365 -0.2586 1.9710
Zr 6.1096 -0.7757 5.9131
W 4.0731 -0.5171 3.9421
```

Calculated values
- Raw total energy: -9.626 eV/atom
- V: 71.0 Å³ per cell
- Energy relative to the lowest polymorph listed for this composition: 0.133 eV/atom



Entry 8:
A relaxed structure of ZnP. Source: the Alexandria database, functional PBE.

The structure in extended XYZ format:
```
4
Lattice="-2.3288 0.0496 1.2241 2.3202 -0.0695 4.4168 2.2391 4.7145 -1.1021" Properties=species:S:1:pos:R:3 pbc="T T T"
Zn -0.0448 2.3821 0.0610
Zn -0.0043 -0.0099 2.8204
P 1.1153 2.3473 2.2694
P -1.1644 0.0248 0.6120
```

Calculated values
- Raw total energy: -3.186 eV/atom
- V: 62.5 Å³ per cell